Entry from the Alexandria database: ZrSc2Be after structural relaxation (PBEsol).

Lattice parameters (Å, degrees): 3.0596 3.0596 10.1146 81.30 81.30 60.00
Closest atoms and distances in Å follow each position.
Element x y z (fractional)
Sc1 0.1018 0.1018 0.6946  3 Be 2.62
Zr1 0.0000 0.0000 0.0000  2 Sc 3.04, 6 Zr 3.06
Be1 0.5000 0.5000 0.5000  6 Sc 2.62
Sc2 0.8982 0.8982 0.3054  3 Be 2.62

**Formation energy from the elements**: 0.36 eV per atom
**Spin magnetization**: 0.00 μB per formula unit
**Calculated volume**: 20.18 A^3/atom
**DOS(E_F)**: 1.25 states/eV per atom
**Crystal system**: trigonal

Entry from the Alexandria database: MgZr2Re after structural relaxation (PBEsol).

Lattice parameters (Å, degrees): 2.7467 4.9698 5.8180 92.44 90.00 106.04
Closest atoms and distances in Å follow each position.
Element x y z (fractional)
Re1 0.5000 0.0000 0.0000  2 Re 2.75, 6 Zr 2.80-3.03
Mg1 0.0000 0.0000 0.5000  2 Mg 2.75, 2 Zr 2.90
Zr1 0.7495 0.4991 0.7644  4 Zr 2.75-3.07, 3 Re 2.80-3.03, 1 Mg 2.90
Zr2 0.2505 0.5009 0.2356  4 Zr 2.75-3.07, 3 Re 2.80-3.03, 1 Mg 2.90

**Formation energy from the elements**: 0.22 eV per atom
**Spin magnetization**: 0.00 μB per formula unit
**Calculated volume**: 19.06 A^3/atom
**DOS(E_F)**: 0.91 states/eV per atom
**Crystal system**: monoclinic

Entry from the Alexandria database: ScTiC2 after structural relaxation (PBEsol).

Lattice parameters (Å, degrees): 3.9102 3.9102 3.9102 60.00 60.00 60.00
Closest atoms and distances in Å follow each position.
Element x y z (fractional)
Ti1 0.5000 0.5000 0.5000  8 C 2.39
Sc1 0.0000 0.0000 0.0000  8 C 2.39
C1 0.7500 0.7500 0.7500  4 Sc 2.39, 4 Ti 2.39
C2 0.2500 0.2500 0.2500  4 Sc 2.39, 4 Ti 2.39

**Formation energy from the elements**: 0.36 eV per atom
**Spin magnetization**: 0.00 μB per formula unit
**Calculated volume**: 10.57 A^3/atom
**DOS(E_F)**: 1.02 states/eV per atom
**Crystal system**: cubic

Entry from the Alexandria database: TeS2Br2 after structural relaxation (PBEsol).

Lattice parameters (Å, degrees): 5.4707 5.6411 5.4707 60.99 90.00 119.01
Closest atoms and distances in Å follow each position.
Element x y z (fractional)
Br1 0.2500 0.5000 0.2500  4 S 2.95
S1 0.6146 0.2291 0.3854  1 S 1.88
Br2 0.7500 0.5000 0.7500  4 S 2.95
S2 0.3854 0.7709 0.6146  1 S 1.88
Te1 0.0000 0.0000 0.0000  2 S 3.17, 8 Br 3.42

**Spin magnetization**: 0.02 μB per formula unit
**Calculated volume**: 24.58 A^3/atom
**ΔE_f (raw)**: 410 meV per atom
**DOS(E_F)**: 0.99 states/eV per atom
**Crystal system**: tetragonal

Entry from the Alexandria database: CuSiNi2 after structural relaxation (PBEsol).

Lattice parameters (Å, degrees): 3.4654 3.4654 4.3223 113.63 113.63 90.00
Closest atoms and distances in Å follow each position.
Element x y z (fractional)
Cu1 0.2500 0.7500 0.5000  8 Ni 2.45-2.48, 4 Si 2.48
Ni1 0.7500 0.2500 0.5000  4 Cu 2.45, 4 Ni 2.48, 4 Si 2.48
Ni2 0.0000 0.0000 0.0000  4 Si 2.45, 4 Ni 2.48, 4 Cu 2.48
Si1 0.5000 0.5000 0.0000  8 Ni 2.45-2.48, 4 Cu 2.48

**Spin magnetization**: 0.00 μB per formula unit
**Calculated volume**: 10.69 A^3/atom
**ΔE_f (raw)**: -338 meV per atom
**DOS(E_F)**: 0.61 states/eV per atom
**Crystal system**: tetragonal

Entry from the Alexandria database: NaTl2Rh2 after structural relaxation (PBEsol).

Lattice parameters (Å, degrees): 3.0661 7.8476 7.8476 90.00 90.00 90.00
Closest atoms and distances in Å follow each position.
Element x y z (fractional)
Tl1 0.0000 0.3423 0.8423  6 Rh 2.74-2.79, 2 Na 2.96
Rh1 0.5000 0.8620 0.3620  6 Tl 2.74-2.79, 1 Rh 3.06
Na1 0.0000 0.0000 0.0000  4 Tl 2.96, 2 Na 3.07
Rh2 0.5000 0.1380 0.6380  6 Tl 2.74-2.79, 1 Rh 3.06
Na2 0.0000 0.5000 0.5000  4 Tl 2.96, 2 Na 3.07
Tl2 0.0000 0.1577 0.3423  6 Rh 2.74-2.79, 2 Na 2.96
Tl3 0.0000 0.6577 0.1577  6 Rh 2.74-2.79, 2 Na 2.96
Rh3 0.5000 0.6380 0.8620  6 Tl 2.74-2.79, 1 Rh 3.06
Rh4 0.5000 0.3620 0.1380  6 Tl 2.74-2.79, 1 Rh 3.06
Tl4 0.0000 0.8423 0.6577  6 Rh 2.74-2.79, 2 Na 2.96

**Formation energy from the elements**: 0.04 eV per atom
**Spin magnetization**: 0.00 μB per formula unit
**Calculated volume**: 18.88 A^3/atom
**DOS(E_F)**: 0.40 states/eV per atom
**Crystal system**: tetragonal

Entry from the Alexandria database: In2IrPt after structural relaxation (PBEsol).

Lattice parameters (Å, degrees): 3.9038 3.9022 5.2572 111.79 111.79 90.00
Closest atoms and distances in Å follow each position.
Element x y z (fractional)
In1 0.0001 0.0001 0.0001  4 Ir 2.76, 4 Pt 2.97, 4 In 2.97
Pt1 0.2499 0.7499 0.4998  8 In 2.76-2.97, 4 Ir 2.97
Ir1 0.5000 0.5000 0.0000  8 In 2.76-2.97, 4 Pt 2.97
In2 0.7501 0.2501 0.5001  4 Pt 2.76, 4 In 2.97, 4 Ir 2.97

**Formation energy from the elements**: -0.12 eV per atom
**Spin magnetization**: 0.00 μB per formula unit
**Calculated volume**: 17.04 A^3/atom
**DOS(E_F)**: 0.51 states/eV per atom
**Crystal system**: tetragonal

Entry from the Alexandria database: Ca2BeCr after structural relaxation (PBEsol).

Lattice parameters (Å, degrees): 4.9306 4.9306 4.9306 60.00 60.00 60.00
Closest atoms and distances in Å follow each position.
Element x y z (fractional)
Be1 0.5000 0.5000 0.5000  4 Cr 3.02, 4 Ca 3.02
Cr1 0.2500 0.2500 0.2500  4 Be 3.02, 4 Ca 3.02
Ca1 0.0000 0.0000 0.0000  4 Cr 3.02, 4 Ca 3.02
Ca2 0.7500 0.7500 0.7500  4 Ca 3.02, 4 Be 3.02

**Formation energy from the elements**: 0.70 eV per atom
**Spin magnetization**: 4.17 μB per formula unit
**Calculated volume**: 21.19 A^3/atom
**DOS(E_F)**: 1.06 states/eV per atom
**Crystal system**: cubic

Entry from the Alexandria database: Zn2HgOs after structural relaxation (PBEsol).

Lattice parameters (Å, degrees): 2.8214 2.8214 7.8070 90.00 90.00 90.00
Closest atoms and distances in Å follow each position.
Element x y z (fractional)
Os1 0.5000 0.5000 0.7753  4 Zn 2.63, 4 Os 2.82, 4 Hg 2.91
Zn1 0.0000 0.0000 0.9950  4 Os 2.63, 8 Zn 2.69-2.82
Hg1 0.0000 0.0000 0.5036  4 Hg 2.82, 4 Os 2.91, 4 Zn 2.95
Zn2 0.5000 0.5000 0.2260  8 Zn 2.69-2.82, 4 Hg 2.95

**Formation energy from the elements**: 0.47 eV per atom
**Spin magnetization**: 0.00 μB per formula unit
**Calculated volume**: 15.54 A^3/atom
**DOS(E_F)**: 0.81 states/eV per atom
**Crystal system**: tetragonal

Entry from the Alexandria database: NaSmSe2O7 after structural relaxation (PBEsol).

Lattice parameters (Å, degrees): 6.9008 8.1958 10.7070 91.25 90.00 90.00
Closest atoms and distances in Å follow each position.
Element x y z (fractional)
O1 0.1191 0.6447 0.6586  1 Se 1.69
O2 0.8420 0.0658 0.4515  1 Se 1.75
O3 0.7263 0.5773 0.6931  1 Se 1.69
O4 0.4412 0.6453 0.1906  1 Se 1.68
O5 0.8809 0.3553 0.3414  1 Se 1.69
O6 0.6191 0.8553 0.3414  1 Se 1.69
O7 0.1845 0.4518 0.0556  1 Se 1.65
O8 0.4950 0.1626 0.4107  1 Se 1.73
Se1 0.8270 0.5560 0.3296  3 O 1.69-1.75
Se2 0.3270 0.9440 0.6704  3 O 1.69-1.75
Sm1 0.8492 0.8054 0.5829  8 O 2.39-2.58
Sm2 0.6508 0.3054 0.5829  8 O 2.39-2.58
O9 0.5588 0.3547 0.8094  1 Se 1.68
Sm3 0.1508 0.1946 0.4171  8 O 2.39-2.58
O10 0.0588 0.1453 0.1906  1 Se 1.68
Na1 0.3723 0.1890 0.9368  5 O 2.33-2.49
Sm4 0.3492 0.6946 0.4171  8 O 2.39-2.58
O11 0.9412 0.8547 0.8094  1 Se 1.68
O12 0.5050 0.8374 0.5893  1 Se 1.73
O13 0.6845 0.0482 0.9444  1 Se 1.65
Se3 0.6730 0.0560 0.3296  3 O 1.69-1.75
O14 0.4706 0.6744 0.8796  1 Se 1.65
Se4 0.8580 0.0440 0.8380  4 O 1.65-1.69
O15 0.2737 0.4227 0.3069  1 Se 1.69
O16 0.6580 0.5658 0.4515  1 Se 1.75
Se5 0.3580 0.4560 0.1620  4 O 1.65-1.69
O17 0.3155 0.9518 0.0556  1 Se 1.65
Na2 0.1277 0.6890 0.9368  5 O 2.33-2.49
Na3 0.8723 0.3110 0.0632  5 O 2.33-2.49
O18 0.0294 0.1744 0.8796  1 Se 1.65
O19 0.3420 0.4342 0.5485  1 Se 1.75
O20 0.2263 0.9227 0.3069  1 Se 1.69
O21 0.9706 0.8256 0.1204  1 Se 1.65
O22 0.8155 0.5482 0.9444  1 Se 1.65
O23 0.1580 0.9342 0.5485  1 Se 1.75
O24 0.0050 0.6626 0.4107  1 Se 1.73
Se6 0.1420 0.9560 0.1620  4 O 1.65-1.69
O25 0.3809 0.1447 0.6586  1 Se 1.69
O26 0.5294 0.3256 0.1204  1 Se 1.65
Se7 0.6420 0.5440 0.8380  4 O 1.65-1.69
Na4 0.6277 0.8110 0.0632  5 O 2.33-2.49
O27 0.7737 0.0773 0.6931  1 Se 1.69
O28 0.9950 0.3374 0.5893  1 Se 1.73
Se8 0.1730 0.4440 0.6704  3 O 1.69-1.75

**Spin magnetization**: 0.00 μB per formula unit
**Calculated volume**: 13.76 A^3/atom
**ΔE_f (raw)**: -1649 meV per atom
**DOS(E_F)**: 0.00 states/eV per atom
**Crystal system**: monoclinic

Entry from the Alexandria database: BeSi2Hg after structural relaxation (PBEsol).

Lattice parameters (Å, degrees): 3.5479 3.5501 6.3410 73.44 73.42 60.02
Closest atoms and distances in Å follow each position.
Element x y z (fractional)
Si1 0.0158 0.0167 0.9500  3 Si 2.43
Si2 0.7565 0.7565 0.7332  3 Be 2.35-2.36, 3 Si 2.43
Hg1 0.2400 0.2401 0.2772  3 Be 2.57-2.60, 3 Si 2.83-2.84
Be1 0.4877 0.4868 0.5395  3 Si 2.35-2.36, 3 Hg 2.57-2.60

**Spin magnetization**: 0.00 μB per formula unit
**Calculated volume**: 16.33 A^3/atom
**ΔE_f (raw)**: 387 meV per atom
**DOS(E_F)**: 0.36 states/eV per atom
**Crystal system**: monoclinic

Entry from the Alexandria database: TlCrSiI2 after structural relaxation (PBEsol).

Lattice parameters (Å, degrees): 5.3875 5.5045 5.5045 90.00 90.00 90.00
Closest atoms and distances in Å follow each position.
Element x y z (fractional)
Si1 0.0000 0.0000 0.0000  2 Tl 2.69, 4 I 2.75
I1 0.0000 0.5000 0.0000  2 Si 2.75
Tl1 0.5000 0.0000 0.0000  2 Si 2.69
Cr1 0.5000 0.5000 0.5000  8 I 3.85, 4 Tl 3.89
I2 0.0000 0.0000 0.5000  2 Si 2.75

**Spin magnetization**: 5.67 μB per formula unit
**Calculated volume**: 32.65 A^3/atom
**ΔE_f (raw)**: 728 meV per atom
**DOS(E_F)**: 0.50 states/eV per atom
**Crystal system**: tetragonal

Entry from the Alexandria database: GaGe2Cl after structural relaxation (PBEsol).

Lattice parameters (Å, degrees): 4.7107 4.7107 4.7107 60.00 60.00 60.00
Closest atoms and distances in Å follow each position.
Element x y z (fractional)
Ga1 0.5000 0.5000 0.5000  8 Ge 2.88
Ge1 0.7500 0.7500 0.7500  4 Cl 2.88, 4 Ga 2.88
Cl1 0.0000 0.0000 0.0000  8 Ge 2.88
Ge2 0.2500 0.2500 0.2500  4 Cl 2.88, 4 Ga 2.88

**Spin magnetization**: 0.00 μB per formula unit
**Calculated volume**: 18.48 A^3/atom
**ΔE_f (raw)**: 158 meV per atom
**DOS(E_F)**: 0.51 states/eV per atom
**Crystal system**: cubic

Entry from the Alexandria database: SrAl2Ni after structural relaxation (PBEsol).

Lattice parameters (Å, degrees): 4.0653 4.0653 4.7251 90.00 90.00 90.00
Closest atoms and distances in Å follow each position.
Element x y z (fractional)
Sr1 0.0000 0.0000 0.5000  4 Ni 2.87, 8 Al 3.12
Ni1 0.5000 0.5000 0.5000  4 Sr 2.87, 8 Al 3.12
Al1 0.0000 0.5000 0.0000  4 Al 2.87, 4 Ni 3.12, 4 Sr 3.12
Al2 0.5000 0.0000 0.0000  4 Al 2.87, 4 Ni 3.12, 4 Sr 3.12

**Formation energy from the elements**: 0.17 eV per atom
**Spin magnetization**: 0.00 μB per formula unit
**Calculated volume**: 19.52 A^3/atom
**DOS(E_F)**: 0.59 states/eV per atom
**Crystal system**: tetragonal

Entry from the Alexandria database: TcNiP2 after structural relaxation (PBEsol).

Lattice parameters (Å, degrees): 3.5250 4.1744 4.2881 119.13 114.27 90.00
Closest atoms and distances in Å follow each position.
Element x y z (fractional)
Ni1 0.0000 0.5000 0.0000  4 P 2.29
Tc1 0.5000 0.0000 0.0000  8 P 2.55, 4 Ni 2.73
P1 0.7221 0.7221 0.4443  2 Ni 2.29, 4 Tc 2.55
P2 0.2779 0.2779 0.5557  2 Ni 2.29, 4 Tc 2.55

**Formation energy from the elements**: -0.15 eV per atom
**Spin magnetization**: 0.00 μB per formula unit
**Calculated volume**: 12.16 A^3/atom
**DOS(E_F)**: 0.49 states/eV per atom
**Crystal system**: orthorhombic

Entry from the Alexandria database: Sr5Ag after structural relaxation (PBEsol).

Lattice parameters (Å, degrees): 7.4599 7.4599 7.4599 60.00 60.00 60.00
Closest atoms and distances in Å follow each position.
Element x y z (fractional)
Sr1 0.6251 0.6251 0.6251  6 Sr 3.73
Sr2 0.6251 0.6251 0.1247  6 Sr 3.73
Sr3 0.2500 0.2500 0.2500  12 Sr 4.37, 4 Ag 4.57
Sr4 0.6251 0.1247 0.6251  6 Sr 3.73
Ag1 0.0000 0.0000 0.0000  16 Sr 4.37-4.57
Sr5 0.1247 0.6251 0.6251  6 Sr 3.73

**Formation energy from the elements**: 0.38 eV per atom
**Spin magnetization**: 0.00 μB per formula unit
**Calculated volume**: 48.92 A^3/atom
**DOS(E_F)**: 0.78 states/eV per atom
**Crystal system**: cubic

Entry from the Alexandria database: Zr2PtPb after structural relaxation (PBEsol).

Lattice parameters (Å, degrees): 3.3865 3.3865 7.5158 90.00 90.00 90.00
Closest atoms and distances in Å follow each position.
Element x y z (fractional)
Pb1 0.0000 0.0000 0.5226  4 Pt 3.11, 5 Zr 3.24-3.27, 4 Pb 3.39
Zr1 0.5000 0.5000 0.2326  8 Zr 3.16-3.39, 4 Pb 3.24, 1 Pt 3.35
Pt1 0.5000 0.5000 0.7866  4 Zr 2.72
Zr2 0.0000 0.0000 0.9582  4 Pt 2.72

**Formation energy from the elements**: -0.40 eV per atom
**Spin magnetization**: 0.00 μB per formula unit
**Calculated volume**: 21.55 A^3/atom
**DOS(E_F)**: 0.58 states/eV per atom
**Crystal system**: tetragonal

Entry from the Alexandria database: Tc2IrBr after structural relaxation (PBEsol).

Lattice parameters (Å, degrees): 2.8250 2.8250 7.4129 90.00 90.00 90.00
Closest atoms and distances in Å follow each position.
Element x y z (fractional)
Tc1 0.0000 0.0000 0.2546  4 Ir 2.70, 4 Br 2.75, 4 Tc 2.83
Tc2 0.0000 0.0000 0.7454  4 Ir 2.70, 4 Br 2.75, 4 Tc 2.83
Br1 0.5000 0.5000 0.0000  8 Tc 2.75, 4 Br 2.83
Ir1 0.5000 0.5000 0.5000  8 Tc 2.70, 4 Ir 2.83

**Spin magnetization**: 0.00 μB per formula unit
**Calculated volume**: 14.79 A^3/atom
**ΔE_f (raw)**: 571 meV per atom
**DOS(E_F)**: 1.14 states/eV per atom
**Crystal system**: tetragonal

Entry from the Alexandria database: BeSiRu2 after structural relaxation (PBEsol).

Lattice parameters (Å, degrees): 2.6445 2.6445 8.0103 90.00 90.00 116.94
Closest atoms and distances in Å follow each position.
Element x y z (fractional)
Be1 0.5000 0.5000 0.2482  2 Ru 2.29, 2 Si 2.41
Ru1 0.0000 0.0000 0.0209  2 Be 2.29
Ru2 0.5000 0.5000 0.7362  2 Si 2.38, 4 Ru 2.64
Si1 0.0000 0.0000 0.4947  2 Ru 2.38, 2 Be 2.41, 4 Si 2.64

**Spin magnetization**: 0.00 μB per formula unit
**Calculated volume**: 12.49 A^3/atom
**ΔE_f (raw)**: 252 meV per atom
**DOS(E_F)**: 0.89 states/eV per atom
**Crystal system**: orthorhombic

Entry from the Alexandria database: Tc2NiF after structural relaxation (PBEsol).

Lattice parameters (Å, degrees): 4.0427 4.0427 4.0427 60.00 60.00 60.00
Closest atoms and distances in Å follow each position.
Element x y z (fractional)
Ni1 0.5000 0.5000 0.5000  8 Tc 2.48
Tc1 0.7500 0.7500 0.7500  4 Ni 2.48, 4 F 2.48
F1 0.0000 0.0000 0.0000  8 Tc 2.48
Tc2 0.2500 0.2500 0.2500  4 F 2.48, 4 Ni 2.48

**Spin magnetization**: 0.00 μB per formula unit
**Calculated volume**: 11.68 A^3/atom
**ΔE_f (raw)**: 240 meV per atom
**DOS(E_F)**: 0.66 states/eV per atom
**Crystal system**: cubic